Record 1
Compound: Ca2WN
Source: Alexandria
Functional: PBE
Structure: optimized geometry

## Properties
- M_tot (μB/atom) = 0.1816
- E_form (uncorrected) (eV per atom) = 0.064
- density (g/cm3) = 4.84

a = 9.837 Å, b = 9.837 Å, c = 3.942 Å
α = 90.00°, β = 90.00°, γ = 90.00°
Space group I-42d (No. 122)
Symmetry-distinct sites (fractional):
Ca1 0.078 0.750 0.125 (multiplicity 8)
W1 0.000 0.000 0.500 (multiplicity 4)
N1 0.000 0.000 0.000 (multiplicity 4)



Record 2
Compound: CaWN3
Source: Alexandria
Functional: PBE
Structure: optimized geometry

## Properties
- M_tot (μB/atom) = 0.0000
- E_form (uncorrected) (eV per atom) = -0.515
- density (g/cm3) = 6.74

a = 6.871 Å, b = 5.643 Å, c = 7.385 Å
α = 90.00°, β = 113.80°, γ = 90.00°
Space group P2_1/c (No. 14)
Symmetry-distinct sites (fractional):
Ca1 0.156 0.240 0.142 (multiplicity 4)
W1 0.373 0.715 0.348 (multiplicity 4)
N1 0.094 0.656 0.205 (multiplicity 4)
N2 0.385 0.022 0.469 (multiplicity 4)
N3 0.446 0.579 0.638 (multiplicity 4)



Record 3
Compound: Ca2WN
Source: Alexandria
Functional: PBE
Structure: optimized geometry

## Properties
- M_tot (μB/atom) = 0.2488
- E_form (uncorrected) (eV per atom) = 0.412
- density (g/cm3) = 5.85

a = 3.1725 Å, b = 3.1725 Å, c = 27.1623 Å
α = 90.00°, β = 90.00°, γ = 120.00°
Space group R-3m (No. 166, hexagonal axes)
Symmetry-distinct sites (fractional):
Ca1 0.0000 0.0000 0.1170 (multiplicity 6)
W1 0.0000 0.0000 0.0000 (multiplicity 3)
N1 0.0000 0.0000 0.5000 (multiplicity 3)



Record 4
Compound: Ca2WN2
Source: Alexandria
Functional: PBE
Structure: optimized geometry

## Properties
- M_tot (μB/atom) = 0.0000
- E_form (uncorrected) (eV per atom) = -0.171
- density (g/cm3) = 6.97

a = 6.090 Å, b = 6.090 Å, c = 3.754 Å
α = 90.00°, β = 90.00°, γ = 90.00°
Space group P4/mbm (No. 127)
Symmetry-distinct sites (fractional):
Ca1 0.149 0.351 0.000 (multiplicity 4)
W1 0.000 0.000 0.500 (multiplicity 2)
N1 0.190 0.690 0.500 (multiplicity 4)



Record 5
Compound: CaWN3
Source: Alexandria
Functional: PBE
Structure: optimized geometry

## Properties
- M_tot (μB/atom) = 0.0000
- E_form (uncorrected) (eV per atom) = 0.053
- density (g/cm3) = 8.02

a = 3.9199 Å, b = 3.9199 Å, c = 8.2723 Å
α = 90.00°, β = 90.00°, γ = 120.00°
Space group P6_3/mmc (No. 194)
Symmetry-distinct sites (fractional):
Ca1 0.3333 0.6667 0.2500 (multiplicity 2)
W1 0.0000 0.0000 0.0000 (multiplicity 2)
N1 0.0000 0.0000 0.2500 (multiplicity 2)
N2 0.3333 0.6667 0.5329 (multiplicity 4)



Record 6
Compound: Ca2WN3
Source: Alexandria
Functional: PBE
Structure: optimized geometry

## Properties
- M_tot (μB/atom) = 0.0000
- E_form (uncorrected) (eV per atom) = -0.927
- density (g/cm3) = 5.67

a = 5.509 Å, b = 10.762 Å, c = 12.162 Å
α = 90.00°, β = 96.24°, γ = 90.00°
Space group C2/c (No. 15)
Symmetry-distinct sites (fractional):
Ca1 0.225 0.205 0.361 (multiplicity 8)
Ca2 0.233 0.113 0.927 (multiplicity 8)
W1 0.215 0.495 0.831 (multiplicity 8)
N1 0.000 0.007 0.250 (multiplicity 4)
N2 0.000 0.371 0.250 (multiplicity 4)
N3 0.176 0.330 0.878 (multiplicity 8)
N4 0.241 0.090 0.539 (multiplicity 8)



Let's list volume in order: 23.8, 13.1, 19.7, 13.9, 11.0, 14.9 A^3/atom.
Let's list DOS at the Fermi energy in order: 0.9463, 0.0000, 0.8691, 0.3358, 0.5021, 0.3470 states/eV/atom.